No. 1
! HgAs3Ru (GGA-PBE, optimized geometry); values from VASP
! symmetry = Pm-3m
! Fermi-level density of states = 0.77 states/eV/atom
! calculated formation energy = 0.446 eV per atom
&SYSTEM
  ibrav = 0, nat = 5, ntyp = 3
/
ATOMIC_SPECIES
Hg 200.59 Hg.upf
As 74.92 As.upf
Ru 101.07 Ru.upf
CELL_PARAMETERS angstrom
4.8379 0.0000 0.0000
0.0000 4.8379 0.0000
0.0000 0.0000 4.8379
ATOMIC_POSITIONS angstrom
Hg 0.0000 0.0000 0.0000
As 0.0000 2.4190 2.4190
As 2.4190 0.0000 2.4190
As 2.4190 2.4190 0.0000
Ru 2.4190 2.4190 2.4190

No. 2
! Tb2ErTe2 (GGA-PBE, optimized geometry); values from VASP
! symmetry = I4/mmm
! ΔE_f (raw) = -4.87 eV per formula unit
! Fermi-level density of states = 0.88 states/eV/atom
&SYSTEM
  ibrav = 0, nat = 10, ntyp = 3
/
ATOMIC_SPECIES
Tb 158.93 Tb.upf
Er 167.26 Er.upf
Te 127.60 Te.upf
CELL_PARAMETERS angstrom
4.2627 0.0000 0.0000
0.0000 4.2627 0.0000
0.0000 0.0000 16.7835
ATOMIC_POSITIONS angstrom
Tb 0.0000 0.0000 2.0869
Tb 0.0000 0.0000 14.6967
Tb 2.1314 2.1314 6.3049
Tb 2.1314 2.1314 10.4786
Er 0.0000 0.0000 8.3918
Er 2.1314 2.1314 0.0000
Te 0.0000 0.0000 5.3933
Te 0.0000 0.0000 11.3902
Te 2.1314 2.1314 2.9984
Te 2.1314 2.1314 13.7851

No. 3
! Co3TcRu (GGA-PBE, optimized geometry); values from VASP
! symmetry = Pm-3m
! Fermi-level density of states = 1.67 states/eV/atom
! calculated formation energy = 1.669 eV per atom
&SYSTEM
  ibrav = 0, nat = 5, ntyp = 3
/
ATOMIC_SPECIES
Co 58.93 Co.upf
Tc 98.00 Tc.upf
Ru 101.07 Ru.upf
CELL_PARAMETERS angstrom
4.3267 0.0000 0.0000
0.0000 4.3267 0.0000
0.0000 0.0000 4.3267
ATOMIC_POSITIONS angstrom
Co 0.0000 0.0000 2.1633
Co 0.0000 2.1633 0.0000
Co 2.1633 0.0000 0.0000
Tc 0.0000 0.0000 0.0000
Ru 2.1633 2.1633 2.1633

No. 4
! NdAl2Au10 (GGA-PBE, optimized geometry); values from VASP
! symmetry = Fmmm
! Fermi-level density of states = 0.33 states/eV/atom
! calculated formation energy = -0.349 eV per atom
&SYSTEM
  ibrav = 0, nat = 13, ntyp = 3
/
ATOMIC_SPECIES
Nd 144.24 Nd.upf
Al 26.98 Al.upf
Au 196.97 Au.upf
CELL_PARAMETERS angstrom
0.0000 6.4976 6.8378
2.8031 0.0000 6.8378
2.8031 6.4976 0.0000
ATOMIC_POSITIONS angstrom
Nd 0.0000 0.0000 0.0000
Al 1.4016 0.0000 3.4189
Al 1.4016 6.4976 3.4189
Au 1.4016 3.2488 0.0000
Au 2.8031 4.4516 2.3691
Au 2.8031 5.1135 5.2768
Au 2.8031 8.5435 2.3691
Au 2.8031 7.8817 5.2768
Au 1.4016 3.2488 6.8378
Au 2.8031 5.1135 8.3987
Au 2.8031 4.4516 11.3064
Au 2.8031 7.8817 8.3987
Au 2.8031 8.5435 11.3064

No. 5
! AcTmZnRu (GGA-PBE, optimized geometry); values from VASP
! symmetry = F-43m
! Fermi-level density of states = 0.96 states/eV/atom
! calculated formation energy = -0.166 eV per atom
&SYSTEM
  ibrav = 0, nat = 16, ntyp = 4
/
ATOMIC_SPECIES
Ac 227.00 Ac.upf
Tm 168.93 Tm.upf
Zn 65.41 Zn.upf
Ru 101.07 Ru.upf
CELL_PARAMETERS angstrom
7.2322 0.0000 0.0000
0.0000 7.2322 0.0000
0.0000 0.0000 7.2322
ATOMIC_POSITIONS angstrom
Ac 0.0000 0.0000 0.0000
Ac 0.0000 3.6161 3.6161
Ac 3.6161 0.0000 3.6161
Ac 3.6161 3.6161 0.0000
Tm 0.0000 0.0000 3.6161
Tm 0.0000 3.6161 0.0000
Tm 3.6161 0.0000 0.0000
Tm 3.6161 3.6161 3.6161
Zn 1.8081 1.8081 5.4242
Zn 1.8081 5.4242 1.8081
Zn 5.4242 1.8081 1.8081
Zn 5.4242 5.4242 5.4242
Ru 1.8081 1.8081 1.8081
Ru 1.8081 5.4242 5.4242
Ru 5.4242 1.8081 5.4242
Ru 5.4242 5.4242 1.8081

No. 6
! Y7Tl2Pt2 (GGA-PBE, optimized geometry); values from VASP
! symmetry = Cmmm
! Fermi-level density of states = 0.95 states/eV/atom
! calculated formation energy = -0.515 eV per atom
&SYSTEM
  ibrav = 0, nat = 11, ntyp = 3
/
ATOMIC_SPECIES
Y 88.91 Y.upf
Tl 204.38 Tl.upf
Pt 195.08 Pt.upf
CELL_PARAMETERS angstrom
4.1387 -5.5792 0.0000
4.1387 5.5792 0.0000
0.0000 0.0000 7.0968
ATOMIC_POSITIONS angstrom
Y 0.0000 0.0000 0.0000
Y 2.0694 2.7896 1.7819
Y 2.0694 2.7896 5.3149
Y 2.0694 -2.7896 1.7819
Y 2.0694 -2.7896 5.3149
Y 4.1387 0.0000 1.7211
Y 4.1387 0.0000 5.3758
Tl 1.4956 0.0000 3.5484
Tl 6.7818 0.0000 3.5484
Pt 4.1387 2.3633 0.0000
Pt 4.1387 -2.3633 0.0000